1.
Compound: CaMg2CuN
Source: Alexandria via LeMat-Bulk
Functional: PBE
Structure: optimized geometry

## Properties
The calculation puts the excess energy over the best structure of this formula in the dataset at 204.0 kJ/mol of atoms. Its formation energy (no corrections) is 875.2 kJ/mol of formula units. The density of states at the Fermi level comes out at 4.62 states/eV per cell. Its symmetry is No. 123.

Cell lengths 6.4322, 5.2962, 6.4322 Å; angles 90.00, 90.00, 90.00 degrees
Fractional coordinates of all 5 atoms:
N1 0.5000 0.5000 0.5000
Mg1 0.5000 0.0000 0.0000
Mg2 0.0000 0.0000 0.5000
Cu1 0.0000 0.5000 0.0000
Ca1 0.0000 0.0000 0.0000



2.
Compound: NaCaMgCu
Source: Alexandria via LeMat-Bulk
Functional: PBE
Structure: optimized geometry

## Properties
For the formation energy, the calculation gives 0.0897 eV per atom. The density of states at the Fermi level comes out at 2.52 states/eV per cell. Its symmetry is No. 216.

Cell lengths 5.1115, 5.1115, 5.1115 Å; angles 60.00, 60.00, 60.00 degrees
Fractional coordinates of all 4 atoms:
Mg1 0.5000 0.5000 0.5000
Ca1 0.0000 0.0000 0.0000
Na1 0.2500 0.2500 0.2500
Cu1 0.7500 0.7500 0.7500



3.
Compound: NaCa2MgCu
Source: Alexandria via LeMat-Bulk
Functional: PBE
Structure: optimized geometry

## Properties
For the formation energy, the calculation gives 0.0240 eV per atom. The density of states at the Fermi level comes out at 3.55 states/eV per cell. Its symmetry is No. 123.

Cell lengths 5.6652, 5.6652, 5.0591 Å; angles 90.00, 90.00, 90.00 degrees
Fractional coordinates of all 5 atoms:
Mg1 0.0000 0.0000 0.5000
Na1 0.5000 0.5000 0.5000
Ca1 0.0000 0.5000 0.0000
Cu1 0.0000 0.0000 0.0000
Ca2 0.5000 0.0000 0.0000



no.,M_tot (μB per cell)
1,2.32
2,0.00
3,0.00